Sm4DyMg2: relaxed, PBE.

Output
symmetry = No. 166
total energy = -24.8 eV per cell
density of states at the Fermi level = 9.84 states/eV/f.u.
energy of formation from the pure elements = 270 meV/atom

```
Sm4DyMg2
1.0
5.5920 0.0000 0.0000
2.7960 4.8428 0.0000
2.7960 1.6143 8.9138
Sm Mg Dy
4 2 1
Direct
0.1305 0.1305 0.6086
0.7434 0.7434 0.7698
0.8695 0.8695 0.3914
0.2566 0.2566 0.2302
0.3780 0.3780 0.8661
0.6220 0.6220 0.1339
0.5000 0.5000 0.5000
```